[1]
NaSr3Hg after structural relaxation. Source: Alexandria via LeMat-Bulk, functional GGA-PBE.

- Uncorrected energy: -1.5026 eV/atom
- Magnetization: 0.0000 μB/atom
- Fermi-level density of states: 4.3 states/eV/f.u.
- Energy relative to the lowest polymorph listed for this composition: 0.008 eV/atom
- Formation enthalpy at 0 K: -0.169 eV/atom
- Density: 3.5 g cm⁻³

Lattice parameters (Å, degrees): 16.9177 13.0649 8.2526 90.00 90.00 90.00
With the nearest neighbours (Å) after each atom.
Space group Cmce (No. 64)
Symmetry-distinct sites (fractional):
1 Na 0.2500 0.0497 0.2500  8 Sr 3.89-4.23, 2 Na 4.33
2 Sr 0.0000 0.0552 0.2307  3 Hg 3.40-3.49
3 Sr 0.1397 0.1944 0.6017  2 Hg 3.30-3.31
4 Hg 0.0000 0.1955 0.8833  7 Sr 3.30-3.49

***

[2]
Th4CN2O after structural relaxation. Source: Alexandria via LeMat-Bulk, functional GGA-PBE.

- Uncorrected energy: -9.1366 eV/atom
- Magnetization: 0.0000 μB/atom
- Fermi-level density of states: 4.5 states/eV/f.u.
- Formation energy without anion corrections: -1573 meV/atom
- Density: 11.6 g cm⁻³

Lattice parameters (Å, degrees): 6.3563 3.6761 6.3870 90.00 109.27 90.00
With the nearest neighbours (Å) after each atom.
Space group P2/m (No. 10)
Symmetry-distinct sites (fractional):
1 Th 0.2459 0.0000 0.2447  3 N 2.58-2.59, 1 C 2.60, 2 O 2.63
2 Th 0.2500 0.5000 0.7535  3 N 2.58-2.59, 2 C 2.61, 1 O 2.62
3 C 0.0000 0.0000 0.5000  6 Th 2.60-2.61
4 N 0.0000 0.5000 0.0000  6 Th 2.58
5 N 0.5000 0.0000 0.0000  6 Th 2.59
6 O 0.5000 0.5000 0.5000  6 Th 2.62-2.63

***

[3]
Tb3Ho3TmS8 after structural relaxation. Source: Alexandria via LeMat-Bulk, functional GGA-PBE.

- Uncorrected energy: -6.3917 eV/atom
- Magnetization: 0.0000 μB/atom
- Fermi-level density of states: 6.3 states/eV/f.u.
- Formation energy without anion corrections: -2051 meV/atom
- Density: 6.9 g cm⁻³

Lattice parameters (Å, degrees): 7.7837 7.7837 19.1119 90.00 90.00 120.00
With the nearest neighbours (Å) after each atom.
Space group R-3m (No. 166, hexagonal axes)
Symmetry-distinct sites (fractional):
1 Tb 0.0000 0.5000 0.0000  6 S 2.77
2 Ho 0.0000 0.5000 0.5000  6 S 2.74
3 Tm 0.0000 0.0000 0.5000  6 S 2.73
4 S 0.0000 0.0000 0.2487  3 Ho 2.74, 3 Tb 2.77
5 S 0.0009 0.5004 0.2485  1 Tm 2.73, 2 Ho 2.74, 2 Tb 2.77

***

[4]
Er2Tl2Ag after structural relaxation. Source: Alexandria via LeMat-Bulk, functional GGA-PBE.

- Uncorrected energy: -3.4740 eV/atom
- Magnetization: 0.0000 μB/atom
- Fermi-level density of states: 4.0 states/eV/f.u.
- Energy relative to the lowest polymorph listed for this composition: 0.084 eV/atom
- Formation enthalpy at 0 K: -0.132 eV/atom
- Density: 10.7 g cm⁻³

Lattice parameters (Å, degrees): 6.4144 13.2084 6.2578 90.00 90.00 90.00
With the nearest neighbours (Å) after each atom.
Space group Ibam (No. 72)
Symmetry-distinct sites (fractional):
1 Er 0.2003 0.1701 0.0000  2 Ag 3.02, 2 Tl 3.11-3.13
2 Tl 0.1597 0.4059 0.0000  2 Ag 2.96, 2 Er 3.11-3.13, 1 Tl 3.22
3 Ag 0.0000 0.0000 0.2500  4 Tl 2.96, 4 Er 3.02, 2 Ag 3.13

***

[5]
CsBaIO after structural relaxation. Source: Alexandria via LeMat-Bulk, functional GGA-PBE.

- Uncorrected energy: -4.0489 eV/atom
- Magnetization: 0.0157 μB/atom
- Fermi-level density of states: 0.0 states/eV/f.u.
- Formation energy without anion corrections: -1728 meV/atom
- Density: 4.9 g cm⁻³

Lattice parameters (Å, degrees): 4.2279 4.2279 27.1140 90.00 90.00 120.00
With the nearest neighbours (Å) after each atom.
Space group R3m (No. 160, hexagonal axes)
Symmetry-distinct sites (fractional):
1 Cs 0.0000 0.0000 0.0000  3 O 3.43, 1 Ba 3.49, 3 I 3.72
2 Ba 0.0000 0.0000 0.8714  3 O 2.67
3 I 0.0000 0.0000 0.4370  3 Ba 3.67, 3 Cs 3.72, 1 O 3.81
4 O 0.0000 0.0000 0.5775  3 Ba 2.67

***

[6]
TbNdSc3 after structural relaxation. Source: Alexandria via LeMat-Bulk, functional GGA-PBE.

- Uncorrected energy: -5.4809 eV/atom
- Magnetization: 0.0002 μB/atom
- Fermi-level density of states: 11.7 states/eV/f.u.
- Energy relative to the lowest polymorph listed for this composition: 0.068 eV/atom
- Formation enthalpy at 0 K: 0.198 eV/atom
- Density: 5.0 g cm⁻³

Lattice parameters (Å, degrees): 5.2981 7.3320 7.4216 90.00 90.00 90.00
With the nearest neighbours (Å) after each atom.
Space group Imm2 (No. 44)
Symmetry-distinct sites (fractional):
1 Tb 0.0000 0.0000 0.0000  3 Sc 2.92-3.17
2 Nd 0.0000 0.5000 0.1984  6 Sc 3.45-3.48, 2 Tb 3.47
3 Sc 0.0000 0.0000 0.3936  1 Tb 2.92, 2 Sc 3.15
4 Sc 0.0000 0.3022 0.6947  2 Sc 2.90-3.15, 1 Tb 3.17

***

[7]
KZn4Ge3 after structural relaxation. Source: Alexandria via LeMat-Bulk, functional GGA-PBE.

- Uncorrected energy: -2.5497 eV/atom
- Magnetization: 0.0000 μB/atom
- Fermi-level density of states: 1.4 states/eV/f.u.
- Formation enthalpy at 0 K: -0.044 eV/atom
- Density: 5.3 g cm⁻³

Lattice parameters (Å, degrees): 4.4784 4.4784 8.0620 90.00 90.00 90.00
With the nearest neighbours (Å) after each atom.
Space group P4/mmm (No. 123)
Symmetry-distinct sites (fractional):
1 K 0.0000 0.0000 0.0000  8 Ge 3.41, 8 Zn 3.43
2 Zn 0.0000 0.5000 0.3221  4 Ge 2.60-2.66, 1 Zn 2.87
3 Ge 0.0000 0.0000 0.5000  8 Zn 2.66
4 Ge 0.5000 0.5000 0.1570  1 Ge 2.53, 4 Zn 2.60

***

[8]
Th2PbS6 after structural relaxation. Source: Alexandria via LeMat-Bulk, functional GGA-PBE.

- Uncorrected energy: -5.9634 eV/atom
- Magnetization: 0.0000 μB/atom
- Fermi-level density of states: 3.2 states/eV/f.u.
- Formation energy without anion corrections: -1151 meV/atom
- Density: 5.4 g cm⁻³

Lattice parameters (Å, degrees): 6.4313 6.4313 12.7741 90.00 90.00 90.00
With the nearest neighbours (Å) after each atom.
Space group P4_2/mnm (No. 136)
Symmetry-distinct sites (fractional):
1 Th 0.0000 0.0000 0.1666  6 S 2.76-2.80
2 Pb 0.0000 0.0000 0.5000  6 S 2.73-2.79
3 S 0.1933 0.1933 0.0000  2 Th 2.76, 1 Pb 2.79
4 S 0.1944 0.1944 0.3367  1 Pb 2.73, 2 Th 2.78-2.80